A plane-wave DFT calculation with PBE+U was carried out for crystalline FeRh2O6 at its relaxed geometry.

a b c (Å): 5.3397 5.3397 4.5669
angles (deg): 90.00 90.00 120.00
With the nearest neighbours (Å) after each atom.
Element x y z (fractional)
Fe1 0.0000 0.0000 0.0000  6 O 2.02
Rh1 0.3333 0.6667 0.0000  6 O 2.01
Rh2 0.6667 0.3333 0.0000  6 O 2.01
O1 0.0000 0.3343 0.7932  2 Rh 2.01, 1 Fe 2.02
O2 0.0000 0.6657 0.2068  2 Rh 2.01, 1 Fe 2.02
O3 0.3343 0.0000 0.7932  2 Rh 2.01, 1 Fe 2.02
O4 0.3343 0.3343 0.2068  2 Rh 2.01, 1 Fe 2.02
O5 0.6657 0.0000 0.2068  2 Rh 2.01, 1 Fe 2.02
O6 0.6657 0.6657 0.7932  2 Rh 2.01, 1 Fe 2.02

Calculated values
N(E_F): 0.6242 states/eV/atom
V: 112.8 Å³/f.u.
E: -6.28 eV/atom
Space group: P-31m (162)